1.
Ga2SiNiH: optimized geometry, GGA-PBEsol.

Cell: 4.072 4.072 3.643 Å, 90.00 90.00 90.00°
Space group P4/mmm (No. 123)
Unique sites:
1 Ga 0.000 0.500 0.000 (multiplicity 2)
2 Si 0.000 0.000 0.500 (multiplicity 1)
3 Ni 0.500 0.500 0.500 (multiplicity 1)
4 H 0.000 0.000 0.000 (multiplicity 1)


2.
Zr6Ga2NiH10: optimized geometry, GGA-PBEsol.

Cell: 7.9084 7.9084 7.1499 Å, 90.00 90.00 120.00°
Space group P-62c (No. 190)
Unique sites:
1 Zr 0.0000 0.7364 0.0000 (multiplicity 6)
2 Zr 0.0450 0.4188 0.2500 (multiplicity 6)
3 Ga 0.3333 0.6667 0.5460 (multiplicity 4)
4 Ni 0.0000 0.0000 0.2500 (multiplicity 2)
5 H 0.0000 0.0000 0.0000 (multiplicity 2)
6 H 0.0000 0.2762 0.0000 (multiplicity 6)
7 H 0.1116 0.7053 0.2500 (multiplicity 6)
8 H 0.1198 0.8758 0.7500 (multiplicity 6)


3.
GaHO2: optimized geometry, GGA-PBEsol.

Cell: 2.9914 2.9914 13.2759 Å, 90.00 90.00 120.00°
Space group R-3m (No. 166, hexagonal axes)
Unique sites:
1 Ga 0.0000 0.0000 0.0000 (multiplicity 3)
2 H 0.0000 0.0000 0.5000 (multiplicity 3)
3 O 0.0000 0.0000 0.4088 (multiplicity 6)


4.
GaHO2: optimized geometry, GGA-PBEsol.

Cell: 13.632 2.997 3.823 Å, 90.00 90.00 90.00°
Space group Pnma (No. 62)
Unique sites:
1 Ga 0.184 0.250 0.089 (multiplicity 4)
2 H 0.050 0.750 0.876 (multiplicity 4)
3 O 0.089 0.750 0.092 (multiplicity 4)
4 O 0.213 0.250 0.587 (multiplicity 4)


5.
GaHO2: optimized geometry, GGA-PBEsol.

Cell: 2.968 4.306 4.898 Å, 90.00 90.00 90.00°
Space group Pmn2_1 (No. 31)
Unique sites:
1 Ga 0.000 0.232 0.000 (multiplicity 2)
2 H 0.000 0.288 0.512 (multiplicity 2)
3 O 0.000 0.013 0.354 (multiplicity 2)
4 O 0.000 0.491 0.641 (multiplicity 2)


6.
Ga2HO: optimized geometry, GGA-PBEsol.

Cell: 4.849 4.849 8.476 Å, 90.00 90.00 90.00°
Space group I-42d (No. 122)
Unique sites:
1 Ga 0.234 0.750 0.125 (multiplicity 8)
2 H 0.000 0.000 0.000 (multiplicity 4)
3 O 0.000 0.000 0.500 (multiplicity 4)


| no. | size of the total moment (μB/cell) | final energy (eV per formula unit) |
| --- | --- | --- |
| 1 | 0.00 | -20.37 |
| 2 | 0.00 | -110.98 |
| 3 | 0.00 | -23.59 |
| 4 | 0.00 | -23.32 |
| 5 | 0.00 | -23.60 |
| 6 | 0.00 | -16.65 |